1.
# SrSc3C PBE relaxed
# **Energy relative to the lowest polymorph listed for this composition**: 0.00 eV/f.u.
# **Calculated formation energy**: 0.4 eV per formula unit
# **Spin magnetization**: 0.0 μB/f.u.
# **Crystal system**: cubic
data_SrSc3C
_cell_length_a 4.817
_cell_length_b 4.817
_cell_length_c 4.817
_cell_angle_alpha 90.00
_cell_angle_beta 90.00
_cell_angle_gamma 90.00
_space_group_name_H-M_alt 'P 1'
_space_group_IT_number 1
loop_
_space_group_symop_operation_xyz
'x,y,z'
loop_
_atom_site_label
_atom_site_type_symbol
_atom_site_fract_x
_atom_site_fract_y
_atom_site_fract_z
_atom_site_occupancy
Sr1 Sr 0.000 0.000 0.000 1
Sc1 Sc 0.000 0.500 0.500 1
Sc2 Sc 0.500 0.000 0.500 1
Sc3 Sc 0.500 0.500 0.000 1
C1 C 0.500 0.500 0.500 1

2.
# SrSc2TlC PBE relaxed
# **Calculated formation energy**: -0.9 eV per formula unit
# **Spin magnetization**: 0.0 μB/f.u.
# **Crystal system**: tetragonal
data_SrSc2TlC
_cell_length_a 4.637
_cell_length_b 4.637
_cell_length_c 5.357
_cell_angle_alpha 90.00
_cell_angle_beta 90.00
_cell_angle_gamma 90.00
_space_group_name_H-M_alt 'P 1'
_space_group_IT_number 1
loop_
_space_group_symop_operation_xyz
'x,y,z'
loop_
_atom_site_label
_atom_site_type_symbol
_atom_site_fract_x
_atom_site_fract_y
_atom_site_fract_z
_atom_site_occupancy
Sr1 Sr 0.000 0.000 0.000 1
Sc1 Sc 0.000 0.500 0.500 1
Sc2 Sc 0.500 0.000 0.500 1
Tl1 Tl 0.500 0.500 0.000 1
C1 C 0.000 0.000 0.500 1

3.
# SrSc2ZnC PBE relaxed
# **Calculated formation energy**: -0.4 eV per formula unit
# **Spin magnetization**: 0.0 μB/f.u.
# **Crystal system**: tetragonal
data_SrSc2ZnC
_cell_length_a 4.528
_cell_length_b 4.528
_cell_length_c 5.442
_cell_angle_alpha 90.00
_cell_angle_beta 90.00
_cell_angle_gamma 90.00
_space_group_name_H-M_alt 'P 1'
_space_group_IT_number 1
loop_
_space_group_symop_operation_xyz
'x,y,z'
loop_
_atom_site_label
_atom_site_type_symbol
_atom_site_fract_x
_atom_site_fract_y
_atom_site_fract_z
_atom_site_occupancy
Sr1 Sr 0.000 0.000 0.000 1
Sc1 Sc 0.000 0.500 0.500 1
Sc2 Sc 0.500 0.000 0.500 1
Zn1 Zn 0.500 0.500 0.000 1
C1 C 0.000 0.000 0.500 1

4.
# Sc2TaC2 PBE relaxed
# **Calculated formation energy**: -3.0 eV per formula unit
# **Spin magnetization**: 0.0 μB/f.u.
# **Crystal system**: monoclinic
data_Sc2TaC2
_cell_length_a 5.639
_cell_length_b 5.639
_cell_length_c 5.618
_cell_angle_alpha 98.73
_cell_angle_beta 98.73
_cell_angle_gamma 120.44
_space_group_name_H-M_alt 'P 1'
_space_group_IT_number 1
loop_
_space_group_symop_operation_xyz
'x,y,z'
loop_
_atom_site_label
_atom_site_type_symbol
_atom_site_fract_x
_atom_site_fract_y
_atom_site_fract_z
_atom_site_occupancy
Sc1 Sc 0.081 0.919 0.750 1
Sc2 Sc 0.242 0.758 0.250 1
Sc3 Sc 0.758 0.242 0.750 1
Sc4 Sc 0.919 0.081 0.250 1
Ta1 Ta 0.441 0.559 0.750 1
Ta2 Ta 0.559 0.441 0.250 1
C1 C 0.187 0.346 0.002 1
C2 C 0.346 0.187 0.502 1
C3 C 0.654 0.813 0.498 1
C4 C 0.813 0.654 0.998 1

5.
# ScTaC PBE relaxed
# **Energy relative to the lowest polymorph listed for this composition**: 0.00 eV/f.u.
# **Calculated formation energy**: -1.7 eV per formula unit
# **Spin magnetization**: 0.0 μB/f.u.
# **Crystal system**: orthorhombic
data_ScTaC
_cell_length_a 3.260
_cell_length_b 4.379
_cell_length_c 6.541
_cell_angle_alpha 90.00
_cell_angle_beta 90.00
_cell_angle_gamma 90.00
_space_group_name_H-M_alt 'P 1'
_space_group_IT_number 1
loop_
_space_group_symop_operation_xyz
'x,y,z'
loop_
_atom_site_label
_atom_site_type_symbol
_atom_site_fract_x
_atom_site_fract_y
_atom_site_fract_z
_atom_site_occupancy
Sc1 Sc 0.250 0.250 0.136 1
Sc2 Sc 0.750 0.750 0.864 1
Ta1 Ta 0.250 0.250 0.601 1
Ta2 Ta 0.750 0.750 0.399 1
C1 C 0.250 0.750 0.626 1
C2 C 0.750 0.250 0.374 1

6.
# ScTaC2 PBE relaxed
# **Energy relative to the lowest polymorph listed for this composition**: 2.12 eV/f.u.
# **Calculated formation energy**: -0.6 eV per formula unit
# **Spin magnetization**: 0.0 μB/f.u.
# **Crystal system**: tetragonal
data_ScTaC2
_cell_length_a 5.085
_cell_length_b 5.085
_cell_length_c 9.437
_cell_angle_alpha 90.00
_cell_angle_beta 90.00
_cell_angle_gamma 90.00
_space_group_name_H-M_alt 'P 1'
_space_group_IT_number 1
loop_
_space_group_symop_operation_xyz
'x,y,z'
loop_
_atom_site_label
_atom_site_type_symbol
_atom_site_fract_x
_atom_site_fract_y
_atom_site_fract_z
_atom_site_occupancy
Sc1 Sc 0.000 0.000 0.000 1
Sc2 Sc 0.000 0.500 0.250 1
Sc3 Sc 0.500 0.000 0.750 1
Sc4 Sc 0.500 0.500 0.500 1
Ta1 Ta 0.000 0.000 0.500 1
Ta2 Ta 0.000 0.500 0.750 1
Ta3 Ta 0.500 0.000 0.250 1
Ta4 Ta 0.500 0.500 0.000 1
C1 C 0.220 0.250 0.625 1
C2 C 0.250 0.720 0.875 1
C3 C 0.250 0.780 0.375 1
C4 C 0.280 0.250 0.125 1
C5 C 0.720 0.750 0.125 1
C6 C 0.750 0.220 0.375 1
C7 C 0.750 0.280 0.875 1
C8 C 0.780 0.750 0.625 1

7.
# Sc3TaC PBE relaxed
# **Energy relative to the lowest polymorph listed for this composition**: 9.04 eV/f.u.
# **Calculated formation energy**: 9.6 eV per formula unit
# **Spin magnetization**: 0.0 μB/f.u.
# **Crystal system**: cubic
data_Sc3TaC
_cell_length_a 5.029
_cell_length_b 5.029
_cell_length_c 5.029
_cell_angle_alpha 90.00
_cell_angle_beta 90.00
_cell_angle_gamma 90.00
_space_group_name_H-M_alt 'P 1'
_space_group_IT_number 1
loop_
_space_group_symop_operation_xyz
'x,y,z'
loop_
_atom_site_label
_atom_site_type_symbol
_atom_site_fract_x
_atom_site_fract_y
_atom_site_fract_z
_atom_site_occupancy
Sc1 Sc 0.000 0.000 0.500 1
Sc2 Sc 0.000 0.500 0.000 1
Sc3 Sc 0.500 0.000 0.000 1
Ta1 Ta 0.000 0.000 0.000 1
C1 C 0.500 0.500 0.500 1

8.
# Sc3TaC PBE relaxed
# **Energy relative to the lowest polymorph listed for this composition**: 0.00 eV/f.u.
# **Calculated formation energy**: 0.5 eV per formula unit
# **Spin magnetization**: 3.2 μB/f.u.
# **Crystal system**: cubic
data_Sc3TaC
_cell_length_a 4.551
_cell_length_b 4.551
_cell_length_c 4.551
_cell_angle_alpha 90.00
_cell_angle_beta 90.00
_cell_angle_gamma 90.00
_space_group_name_H-M_alt 'P 1'
_space_group_IT_number 1
loop_
_space_group_symop_operation_xyz
'x,y,z'
loop_
_atom_site_label
_atom_site_type_symbol
_atom_site_fract_x
_atom_site_fract_y
_atom_site_fract_z
_atom_site_occupancy
Sc1 Sc 0.000 0.000 0.500 1
Sc2 Sc 0.000 0.500 0.000 1
Sc3 Sc 0.500 0.000 0.000 1
Ta1 Ta 0.500 0.500 0.500 1
C1 C 0.000 0.000 0.000 1